a | Material: Sm2Y8Tm
Method: DFT, PBE
State: relaxed

density of states at the Fermi level: 16.14 states/eV/f.u.
crystal system: monoclinic

Structure (POSCAR):
```
Sm2Y8Tm
1.0
5.7785 0.3994 -1.0899
-2.1995 6.6129 -3.3643
-0.7479 0.3729 9.1708
Y Sm Tm
8 2 1
Cartesian
3.2264 3.0792 -2.2041
0.3526 3.9331 -2.2501
-0.4905 5.5754 2.3795
2.7961 5.0635 3.8841
3.3215 1.8097 2.3371
-1.7546 6.0783 -0.9977
4.5856 1.3068 5.7143
0.0349 2.3217 0.8325
0.6384 2.3777 4.2562
2.1926 5.0075 0.4604
2.8892 0.1997 -0.5449
```

=====

b | Material: Sm2Y8Tm
Method: DFT, PBE
State: relaxed

density of states at the Fermi level: 18.98 states/eV/f.u.
crystal system: monoclinic

Structure (POSCAR):
```
Sm2Y8Tm
1.0
5.6118 -0.4709 -0.3289
0.4898 9.7254 2.5086
0.4898 5.7023 8.2681
Y Tm Sm
8 1 2
Cartesian
1.8646 4.6495 5.2567
5.1017 12.2122 8.5305
4.7268 10.3074 5.1911
4.7268 8.4212 7.8913
1.8646 6.5357 2.5565
4.7455 6.6338 4.6338
1.4897 2.7447 1.9172
1.8459 8.3231 5.8139
0.0000 0.0000 0.0000
4.4841 4.0211 2.8088
2.1073 10.9358 7.6389
```

=====

The structure with the least stability is b.

=====

a | Material: Sm7Y2Tm
Method: DFT, PBE
State: relaxed

density of states at the Fermi level: 16.15 states/eV/f.u.
crystal system: orthorhombic

Structure (POSCAR):
```
Sm7Y2Tm
1.0
-2.7979 -0.0848 -2.1378
-3.1610 -8.6986 4.4824
-4.0893 7.9789 5.0359
Tm Sm Y
1 7 2
Cartesian
0.0000 0.0000 0.0000
-3.7876 2.5571 4.8560
-3.3702 1.9068 1.4338
-5.0242 -0.4023 3.6902
-3.4628 -3.2769 4.6623
-6.9156 1.5549 6.0883
-3.1327 -2.3594 1.2922
-6.6781 -2.7114 5.9466
-5.3323 5.1348 3.8739
-4.7160 -5.9393 3.5065
```

=====

b | Material: Sm7Y2Tm
Method: DFT, PBE
State: relaxed

density of states at the Fermi level: 14.04 states/eV/f.u.
crystal system: orthorhombic

Structure (POSCAR):
```
Sm7Y2Tm
1.0
5.3024 0.0000 0.0000
0.0000 9.7264 -0.8902
0.0000 -5.1826 8.2787
Sm Tm Y
7 1 2
Cartesian
2.6512 -0.7842 2.3131
2.6512 2.2719 3.6943
2.6512 2.4181 0.3437
0.0000 6.7992 0.9100
2.6512 5.3281 5.0754
2.6512 2.1258 7.0448
0.0000 -2.2554 6.4786
0.0000 0.0000 0.0000
2.6512 -0.7913 5.5781
2.6512 5.3351 1.8104
```

=====

The structure with the least stability is b.

=====

a | Material: Sm2Y3Tm3
Method: DFT, PBE
State: relaxed

density of states at the Fermi level: 13.65 states/eV/f.u.
crystal system: trigonal

Structure (POSCAR):
```
Sm2Y3Tm3
1.0
6.4280 -0.3175 0.3106
-0.3102 6.4283 0.3106
0.3178 0.3175 6.4276
Y Tm Sm
3 3 2
Cartesian
1.6191 4.4968 0.3106
0.0022 1.9315 1.9293
4.8143 0.0000 4.8089
3.2154 1.1139 1.4264
1.1198 5.3145 3.5244
5.3181 3.2142 5.6223
2.0776 2.0753 4.6658
4.3580 4.3530 2.3829
```

=====

b | Material: Sm2Y3Tm3
Method: DFT, PBE
State: relaxed

density of states at the Fermi level: 14.30 states/eV/f.u.
crystal system: monoclinic

Structure (POSCAR):
```
Sm2Y3Tm3
1.0
-2.6337 -0.8406 5.0321
-4.1639 -3.2894 -2.7288
7.5415 -4.0642 -0.0073
Tm Y Sm
3 3 2
Cartesian
-0.0521 -1.8335 2.9419
0.7960 -6.3606 -0.6459
-3.3988 -2.0650 1.1517
-1.2199 -3.3984 -1.2061
1.9638 -4.7957 3.5022
0.0000 0.0000 0.0000
1.8162 -3.2774 0.4031
-1.0723 -4.9168 1.8930
```

=====

The structure with the least stability is a.